(1)
# BaSi4Pt6

An optimized crystal structure of BaSi4Pt6 (GGA-PBE, Alexandria).

Values from the calculation:
VASP energy	-6.18	eV/atom
formation energy without anion corrections	-0.738	eV per atom
volume	19.0	Å³ per atom
symmetry	No. 1
crystal system	triclinic
Fermi-level density of states	0.365	states/eV/atom

Cell lengths 7.1480, 6.4887, 6.4592 Å; angles 65.04, 56.56, 93.58 degrees
Atoms (fractional coordinates):
Ba (0.0552, 0.8793, 0.9425)
Si (0.6389, 0.2122, 0.2386)
Si (0.7531, 0.9744, 0.6507)
Si (0.1340, 0.5753, 0.4326)
Si (0.4449, 0.3410, 0.7935)
Pt (0.5541, 0.8021, 0.5282)
Pt (0.7439, 0.5529, 0.7847)
Pt (0.4834, 0.4868, 0.3580)
Pt (0.0662, 0.4110, 0.8915)
Pt (0.1555, 0.2822, 0.2914)
Pt (0.4709, 0.9828, 0.0880)


(2)
# Tb2Ho2Tl3

An optimized crystal structure of Tb2Ho2Tl3 (GGA-PBE, Alexandria).

Values from the calculation:
VASP energy	-3.86	eV/atom
energy relative to the lowest polymorph listed for this composition	0.0	meV per atom
volume	28.6	Å³ per atom
symmetry	No. 65
crystal system	orthorhombic
Fermi-level density of states	1.102	states/eV/atom

Cell lengths 3.5127, 3.5582, 16.0923 Å; angles 90.00, 83.73, 90.00 degrees
Atoms (fractional coordinates):
Tb (0.5683, 0.5000, 0.8634)
Tb (0.4317, 0.5000, 0.1366)
Ho (0.7020, 0.5000, 0.5960)
Ho (0.2980, 0.5000, 0.4040)
Tl (0.8634, 0.0000, 0.2732)
Tl (0.0000, 0.0000, 0.0000)
Tl (0.1366, 0.0000, 0.7268)


(3)
# Th2AlInPt6

An optimized crystal structure of Th2AlInPt6 (GGA-PBE, Alexandria).

Values from the calculation:
VASP energy	-6.64	eV/atom
volume	21.3	Å³ per atom
symmetry	No. 59
crystal system	orthorhombic
Fermi-level density of states	0.788	states/eV/atom

Cell lengths 5.5426, 8.7743, 8.7512 Å; angles 90.00, 90.00, 90.00 degrees
Atoms (fractional coordinates):
Th (0.5000, 0.7398, 0.2364)
Th (0.0000, 0.2602, 0.7364)
Th (0.5000, 0.7398, 0.7636)
Th (0.0000, 0.2602, 0.2636)
Al (0.5000, 0.2385, 0.5000)
Al (0.0000, 0.7615, 0.0000)
In (0.0000, 0.7214, 0.5000)
In (0.5000, 0.2786, 0.0000)
Pt (0.5000, 0.0973, 0.2509)
Pt (0.5000, 0.0973, 0.7491)
Pt (0.0000, 0.9027, 0.2491)
Pt (0.0000, 0.9027, 0.7509)
Pt (0.2487, 0.9985, 0.5000)
Pt (0.7513, 0.9985, 0.5000)
Pt (0.2516, 0.4653, 0.5000)
Pt (0.7484, 0.4653, 0.5000)
Pt (0.7516, 0.5347, 0.0000)
Pt (0.2484, 0.5347, 0.0000)
Pt (0.2513, 0.0015, 0.0000)
Pt (0.7487, 0.0015, 0.0000)


(4)
# CuGe2As2

An optimized crystal structure of CuGe2As2 (GGA-PBE, Alexandria).

Values from the calculation:
VASP energy	-4.21	eV/atom
energy relative to the lowest polymorph listed for this composition	0.0	meV per atom
volume	19.9	Å³ per atom
symmetry	No. 127
crystal system	tetragonal
Fermi-level density of states	0.521	states/eV/atom

Cell lengths 7.1682, 7.1682, 3.8687 Å; angles 90.00, 90.00, 90.00 degrees
Atoms (fractional coordinates):
As (0.3027, 0.8027, 0.0000)
As (0.8027, 0.6973, 0.0000)
As (0.6973, 0.1973, 0.0000)
As (0.1973, 0.3027, 0.0000)
Ge (0.1331, 0.6331, 0.5000)
Ge (0.6331, 0.8669, 0.5000)
Ge (0.8669, 0.3669, 0.5000)
Ge (0.3669, 0.1331, 0.5000)
Cu (0.0000, 0.0000, 0.0000)
Cu (0.5000, 0.5000, 0.0000)


(5)
# PrSnPd6

An optimized crystal structure of PrSnPd6 (GGA-PBE, Alexandria).

Values from the calculation:
VASP energy	-5.26	eV/atom
energy relative to the lowest polymorph listed for this composition	352.7	meV per atom
volume	22.7	Å³ per atom
symmetry	No. 166
crystal system	trigonal
Fermi-level density of states	0.455	states/eV/atom

Cell lengths 5.5195, 5.5195, 7.5924 Å; angles 68.69, 68.69, 60.00 degrees
Atoms (fractional coordinates):
Pr (0.5000, 0.5000, 0.5000)
Sn (0.0000, 0.0000, 0.0000)
Pd (0.9299, 0.9299, 0.6994)
Pd (0.4409, 0.9299, 0.6994)
Pd (0.0701, 0.5591, 0.3006)
Pd (0.5591, 0.0701, 0.3006)
Pd (0.0701, 0.0701, 0.3006)
Pd (0.9299, 0.4409, 0.6994)